First-principles (PBEsol) data for Sb2PPb after structural relaxation, as listed in the Alexandria database.

abc: 4.2777 4.2777 6.2348
angles: 110.06 110.06 90.00
Closest atoms and distances in Å follow each position.
Positions (direct):
P  0.5000  0.5000  0.0000  4 Pb 3.02
Sb  0.2500  0.7500  0.5000  4 Sb 3.02
Sb  0.7500  0.2500  0.5000  4 Sb 3.02
Pb  0.0000  0.0000  0.0000  4 P 3.02

Output
The crystal system is tetragonal. Its energy relative to the lowest polymorph listed for this composition is 271 meV/atom.

=====

First-principles (PBEsol) data for Sb2PPb after structural relaxation, as listed in the Alexandria database.

abc: 4.1008 4.1008 7.6221
angles: 74.39 74.39 60.00
Closest atoms and distances in Å follow each position.
Positions (direct):
Sb  0.0091  0.0091  0.9727  3 Sb 2.92
Sb  0.7547  0.7547  0.7358  3 Sb 2.92, 3 P 2.93
Pb  0.2350  0.2350  0.2950  3 P 2.78
P  0.5012  0.5012  0.4965  3 Pb 2.78, 3 Sb 2.93

Output
The crystal system is trigonal. Its energy relative to the lowest polymorph listed for this composition is 19 meV/atom.

=====

First-principles (PBEsol) data for SbP2Pb after structural relaxation, as listed in the Alexandria database.

abc: 3.4404 4.9214 4.9214
angles: 90.00 90.00 90.00
Closest atoms and distances in Å follow each position.
Positions (direct):
Sb  0.5000  0.0000  0.0000  8 P 3.00
P  0.0000  0.5000  0.0000  4 Pb 3.00, 4 Sb 3.00
P  0.0000  0.0000  0.5000  4 Pb 3.00, 4 Sb 3.00
Pb  0.5000  0.5000  0.5000  8 P 3.00

Output
The crystal system is tetragonal. Its energy relative to the lowest polymorph listed for this composition is 273 meV/atom.

=====

First-principles (PBEsol) data for Sb2PPb after structural relaxation, as listed in the Alexandria database.

abc: 4.3433 4.3433 5.2525
angles: 90.00 90.00 90.00
Closest atoms and distances in Å follow each position.
Positions (direct):
Sb  0.0000  0.5000  0.0000  4 Sb 3.07, 4 Pb 3.41, 4 P 3.41
Sb  0.5000  0.0000  0.0000  4 Sb 3.07, 4 Pb 3.41, 4 P 3.41
P  0.5000  0.5000  0.5000  4 Pb 3.07, 8 Sb 3.41
Pb  0.0000  0.0000  0.5000  4 P 3.07, 8 Sb 3.41

Output
The crystal system is tetragonal. Its energy relative to the lowest polymorph listed for this composition is 269 meV/atom.

=====

First-principles (PBEsol) data for SbP2Pb after structural relaxation, as listed in the Alexandria database.

abc: 3.9623 3.9623 5.8423
angles: 90.00 90.00 90.00
Closest atoms and distances in Å follow each position.
Positions (direct):
Sb  0.5000  0.5000  0.9001  5 P 2.56-2.81
P  0.0000  0.0000  0.8677  2 Pb 2.77-3.07, 4 Sb 2.81
P  0.5000  0.5000  0.3389  1 Sb 2.56, 4 Pb 2.82
Pb  0.0000  0.0000  0.3934  6 P 2.77-3.07

Output
The crystal system is tetragonal. Its energy relative to the lowest polymorph listed for this composition is 0 meV/atom.

=====

First-principles (PBEsol) data for Sb2PPb after structural relaxation, as listed in the Alexandria database.

abc: 4.1728 4.1728 6.3417
angles: 90.00 90.00 90.00
Closest atoms and distances in Å follow each position.
Positions (direct):
P  0.0000  0.0000  0.5901  1 Sb 2.49
Sb  0.0000  0.0000  0.1973  1 P 2.49
Sb  0.5000  0.5000  0.0988  4 Sb 3.02, 2 Pb 3.08-3.27
Pb  0.5000  0.5000  0.6137  4 P 2.95, 2 Sb 3.08-3.27

Output
The crystal system is tetragonal. Its energy relative to the lowest polymorph listed for this composition is 0 meV/atom.

=====

First-principles (PBEsol) data for SbPPb4 after structural relaxation, as listed in the Alexandria database.

abc: 6.2621 6.2621 6.2621
angles: 60.00 60.00 60.00
Closest atoms and distances in Å follow each position.
Positions (direct):
P  0.0000  0.0000  0.0000  12 Pb 3.67, 4 Sb 3.83
Pb  0.8755  0.3748  0.3748  6 Pb 3.13-3.14
Pb  0.3748  0.3748  0.8755  6 Pb 3.13-3.14
Pb  0.3748  0.8755  0.3748  6 Pb 3.13-3.14
Pb  0.3748  0.3748  0.3748  6 Pb 3.13-3.14
Sb  0.7500  0.7500  0.7500  12 Pb 3.67, 4 P 3.83

Output
The crystal system is cubic.

=====

First-principles (PBEsol) data for SbP2Pb after structural relaxation, as listed in the Alexandria database.

abc: 4.0115 4.0115 6.1162
angles: 109.14 109.14 90.00
Closest atoms and distances in Å follow each position.
Positions (direct):
P  0.7500  0.2500  0.5000  4 Sb 2.84
P  0.0000  0.0000  0.0000  4 Pb 2.84
Pb  0.5000  0.5000  0.0000  4 P 2.84
Sb  0.2500  0.7500  0.5000  4 P 2.84

Output
The crystal system is tetragonal. Its energy relative to the lowest polymorph listed for this composition is 344 meV/atom.

=====

no.,ΔE_f (raw) (meV/atom)
1,354
2,103
3,400
4,352
5,127
6,83
7,562
8,471